No. 1
{"formula": "NaBeTe2", "functional": "GGA-PBE", "state": "optimized geometry", "lattice_angstrom": [[-3.049, 8.017, -0.808], [-3.562, 7.022, 3.497], [0.397, 8.375, 1.984]], "species": ["Be", "Te", "Na", "Te"], "frac_coords": [[0.000, 0.000, 0.000], [0.910, 0.910, 0.910], [0.500, 0.500, 0.500], [0.090, 0.090, 0.090]], "e_form_raw_ev_per_fu": -0.3}

No. 2
{"formula": "NaEuGa4", "functional": "GGA-PBE", "state": "optimized geometry", "lattice_angstrom": [[-5.384, -0.668, 1.598], [-1.198, -2.555, 4.901], [-2.059, 3.005, 4.326]], "species": ["Ga", "Ga", "Eu", "Na", "Ga", "Ga"], "frac_coords": [[0.625, 0.125, 0.625], [0.125, 0.625, 0.625], [0.000, 0.000, 0.000], [0.250, 0.250, 0.250], [0.625, 0.625, 0.125], [0.625, 0.625, 0.625]], "formation_enthalpy_0k_mev_per_atom": -329}

No. 3
{"formula": "YMnRu2", "functional": "GGA-PBE", "state": "optimized geometry", "lattice_angstrom": [[5.479, 0.010, -0.101], [2.676, 4.781, 0.101], [-3.559, -3.278, 2.573]], "species": ["Y", "Mn", "Ru", "Ru"], "frac_coords": [[0.505, 0.505, 0.000], [0.232, 0.732, 0.500], [0.767, 0.267, 0.500], [0.996, 0.996, 0.000]], "formation_enthalpy_0k_mev_per_atom": 104}

No. 4
{"formula": "Ac4Hg5Pb3", "functional": "GGA-PBE", "state": "optimized geometry", "lattice_angstrom": [[-4.477, -2.610, 1.805], [2.995, -7.642, 4.718], [-0.969, 1.914, 8.708]], "species": ["Hg", "Hg", "Hg", "Ac", "Pb", "Pb", "Hg", "Pb", "Ac", "Ac", "Ac", "Hg"], "frac_coords": [[0.401, 0.155, 0.043], [0.796, 0.512, 0.897], [0.204, 0.488, 0.103], [0.264, 0.723, 0.750], [0.000, 0.500, 0.500], [0.303, 0.995, 0.400], [0.500, 0.500, 0.500], [0.697, 0.005, 0.600], [0.022, 0.172, 0.784], [0.978, 0.828, 0.216], [0.736, 0.277, 0.250], [0.599, 0.845, 0.957]], "formation_enthalpy_0k_mev_per_atom": -268}

No. 5
{"formula": "Ba2SnAs", "functional": "GGA-PBE", "state": "optimized geometry", "lattice_angstrom": [[-0.929, 1.339, -4.318], [-4.380, 0.465, -1.380], [-1.676, 10.936, 1.283]], "species": ["Sn", "As", "Ba", "Ba"], "frac_coords": [[0.000, 0.000, 0.000], [0.500, 0.500, 0.500], [0.888, 0.888, 0.335], [0.112, 0.112, 0.665]], "formation_enthalpy_0k_mev_per_atom": -426, "relative_energy_ev_per_atom": 0.282}

No. 6
{"formula": "Ce4Nd2Ge3N2", "functional": "GGA-PBE", "state": "optimized geometry", "lattice_angstrom": [[4.641, 0.000, 0.000], [0.000, 4.641, 0.000], [-2.321, -2.321, 12.345]], "species": ["N", "Ce", "Ce", "N", "Nd", "Nd", "Ge", "Ge", "Ce", "Ge", "Ce"], "frac_coords": [[0.602, 0.602, 0.203], [0.082, 0.582, 0.163], [0.582, 0.082, 0.163], [0.398, 0.398, 0.797], [0.300, 0.300, 0.600], [0.700, 0.700, 0.400], [0.827, 0.827, 0.654], [0.000, 0.000, 0.000], [0.418, 0.918, 0.837], [0.173, 0.173, 0.346], [0.918, 0.418, 0.837]], "e_form_raw_ev_per_fu": -10.4}

No. 7
{"formula": "NaTlAg3", "functional": "GGA-PBE", "state": "optimized geometry", "lattice_angstrom": [[-2.325, 3.797, -3.012], [1.698, -2.491, -4.450], [-4.539, -2.876, -0.122]], "species": ["Ag", "Ag", "Na", "Ag", "Tl"], "frac_coords": [[0.500, 0.000, 0.000], [0.000, 0.000, 0.500], [0.500, 0.500, 0.500], [0.000, 0.500, 0.000], [0.000, 0.000, 0.000]], "formation_enthalpy_0k_mev_per_atom": 381, "relative_energy_ev_per_atom": 0.000}

No. 8
{"formula": "SrY4Mo", "functional": "GGA-PBE", "state": "optimized geometry", "lattice_angstrom": [[5.688, -1.272, -2.940], [3.912, -4.671, 2.343], [0.786, -5.567, -3.317]], "species": ["Sr", "Y", "Y", "Y", "Mo", "Y"], "frac_coords": [[0.000, 0.000, 0.000], [0.377, 0.868, 0.377], [0.377, 0.377, 0.377], [0.868, 0.377, 0.377], [0.750, 0.750, 0.750], [0.377, 0.377, 0.868]], "formation_enthalpy_0k_mev_per_atom": 817}

No. 9
{"formula": "Sr2TaMo", "functional": "GGA-PBE", "state": "optimized geometry", "lattice_angstrom": [[4.647, 0.000, -0.002], [3.425, 3.142, -0.002], [0.510, 0.199, 8.898]], "species": ["Mo", "Sr", "Ta", "Sr"], "frac_coords": [[0.239, 0.239, 0.342], [0.985, 0.985, 0.080], [0.514, 0.514, 0.406], [0.762, 0.762, 0.672]], "formation_enthalpy_0k_mev_per_atom": 700, "relative_energy_ev_per_atom": 0.228}

No. 10
{"formula": "LaSm7Ho2", "functional": "GGA-PBE", "state": "optimized geometry", "lattice_angstrom": [[-5.767, -0.293, -2.435], [0.955, -8.595, 4.155], [-0.947, 4.329, 4.434]], "species": ["Sm", "Ho", "Sm", "Sm", "Ho", "Sm", "Sm", "Sm", "La", "Sm"], "frac_coords": [[0.003, 0.402, 0.202], [0.502, 0.302, 0.401], [0.500, 0.899, 0.200], [0.500, 0.101, 0.800], [0.498, 0.698, 0.599], [0.997, 0.598, 0.798], [0.000, 0.202, 0.600], [0.500, 0.500, 0.000], [0.000, 0.000, 0.000], [0.000, 0.798, 0.400]], "formation_enthalpy_0k_mev_per_atom": 18, "relative_energy_ev_per_atom": 0.000}

No. 11
{"formula": "Ta2FeAg2S6", "functional": "GGA-PBE", "state": "optimized geometry", "lattice_angstrom": [[5.907, -0.239, 0.737], [-3.127, 5.017, 0.737], [-0.187, -0.321, 7.585]], "species": ["S", "Ta", "S", "Ag", "Ag", "S", "Fe", "S", "S", "S", "Ta"], "frac_coords": [[0.741, 0.070, 0.323], [0.365, 0.635, 0.500], [0.930, 0.259, 0.677], [0.149, 0.851, 0.000], [0.851, 0.149, 0.000], [0.259, 0.930, 0.677], [0.000, 0.000, 0.500], [0.368, 0.368, 0.282], [0.070, 0.741, 0.323], [0.632, 0.632, 0.718], [0.635, 0.365, 0.500]], "e_form_raw_ev_per_fu": -6.5}

No. 12
{"formula": "BaLi4In2Ag", "functional": "GGA-PBE", "state": "optimized geometry", "lattice_angstrom": [[-0.608, -1.248, -4.529], [-3.781, -2.558, -1.265], [-6.504, 6.971, -3.525]], "species": ["In", "In", "Ba", "Ag", "Li", "Li", "Li", "Li"], "frac_coords": [[0.237, 0.237, 0.290], [0.763, 0.763, 0.710], [0.000, 0.000, 0.000], [0.500, 0.500, 0.500], [0.587, 0.587, 0.240], [0.413, 0.413, 0.760], [0.863, 0.863, 0.411], [0.137, 0.137, 0.589]], "formation_enthalpy_0k_mev_per_atom": -203}